Entry 1:
Below is a relaxed structure of K3WC, with properties calculated at the PBE-GGA level.

Results
Energy, eV per atom: -3.013
Space group: Pm-3m, No. 221
Total moment, μB per atom: 1.42
Distance to the lowest polymorph of the same formula, meV/atom: 0.0

```
K3WC
1.0
5.784 0.000 0.000
0.000 5.784 0.000
0.000 0.000 5.784
K W C
3 1 1
direct
0.000 0.000 0.500 K
0.000 0.500 0.000 K
0.500 0.000 0.000 K
0.500 0.500 0.500 W
0.000 0.000 0.000 C
```

---

Entry 2:
Below is a relaxed structure of KWC3, with properties calculated at the PBE-GGA level.

Results
Energy, eV per atom: -3.868
Space group: Pm-3m, No. 221
Total moment, μB per atom: 0.21
Distance to the lowest polymorph of the same formula, meV/atom: 3044.8

```
KWC3
1.0
3.958 0.000 0.000
0.000 3.958 0.000
0.000 0.000 3.958
K W C
1 1 3
direct
0.000 0.000 0.000 K
0.500 0.500 0.500 W
0.000 0.000 0.500 C
0.000 0.500 0.000 C
0.500 0.000 0.000 C
```

---

Entry 3:
Below is a relaxed structure of KWC3, with properties calculated at the PBE-GGA level.

Results
Energy, eV per atom: -6.913
Space group: Pm-3m, No. 221
Total moment, μB per atom: 0.00
Distance to the lowest polymorph of the same formula, meV/atom: 0.0

```
KWC3
1.0
4.194 0.000 0.000
0.000 4.194 0.000
0.000 0.000 4.194
K W C
1 1 3
direct
0.000 0.000 0.000 K
0.500 0.500 0.500 W
0.000 0.500 0.500 C
0.500 0.000 0.500 C
0.500 0.500 0.000 C
```

---

Entry 4:
Below is a relaxed structure of KYC2, with properties calculated at the PBE-GGA level.

Results
Energy, eV per atom: -4.919
Space group: Fm-3m, No. 225
Total moment, μB per atom: 0.00
Distance to the lowest polymorph of the same formula, meV/atom: 19.7

```
KYC2
1.0
0.000 3.192 3.192
3.192 0.000 3.192
3.192 3.192 0.000
K Y C
1 1 2
direct
0.000 0.000 0.000 K
0.500 0.500 0.500 Y
0.250 0.250 0.250 C
0.750 0.750 0.750 C
```

---

Q: Look up the distance to the lowest polymorph of the same formula of the third one.
A: 0.0 meV/atom

---

Q: The lowest energy belongs to which entry?
A: number 3

---

Q: Look up the distance to the lowest polymorph of the same formula of the fourth one.
A: 19.7 meV/atom

---

Q: The highest total moment belongs to which entry?
A: K3WC